[1]
Computed, not measured: TaCo4 after structural relaxation at the PBE-GGA level of DFT.

Computed properties:
As for the energy above the most stable polymorph in this dataset: 0.000 eV per atom. The formation energy is -0.076 eV per atom. As for the crystal system: tetragonal.

a b c (Å): 5.799 5.799 3.596
angles (deg): 90.00 90.00 90.00
Space group I4/m (No. 87)
Inequivalent atoms, fractional coordinates:
1 Ta 0.000 0.000 0.000 [2 per cell]
2 Co 0.092 0.311 0.500 [8 per cell]



[2]
Computed, not measured: RbMnTl after structural relaxation at the PBE-GGA level of DFT.

Computed properties:
As for the energy above the most stable polymorph in this dataset: 0.000 eV per atom. The formation energy is 0.368 eV per atom. As for the crystal system: triclinic.

a b c (Å): 3.979 4.018 13.185
angles (deg): 90.34 98.61 90.00
Space group P-1 (No. 2)
Inequivalent atoms, fractional coordinates:
1 Rb 0.169 0.257 0.335 [2 per cell]
2 Mn 0.036 0.252 0.070 [2 per cell]
3 Tl 0.441 0.248 0.882 [2 per cell]



[3]
Computed, not measured: Hf2Zr2Cr after structural relaxation at the PBE-GGA level of DFT.

Computed properties:
As for the energy above the most stable polymorph in this dataset: 0.020 eV per atom. The formation energy is 0.359 eV per atom. As for the crystal system: tetragonal.

a b c (Å): 6.535 6.535 4.980
angles (deg): 90.00 90.00 90.00
Space group P4/mbm (No. 127)
Inequivalent atoms, fractional coordinates:
1 Hf 0.163 0.337 0.000 [4 per cell]
2 Zr 0.154 0.654 0.500 [4 per cell]
3 Cr 0.000 0.000 0.500 [2 per cell]



[4]
Computed, not measured: InSiHg2 after structural relaxation at the PBE-GGA level of DFT.

Computed properties:
As for the crystal system: tetragonal. The value obtained for the final energy is -1.834 eV/atom.

a b c (Å): 4.431 4.431 9.327
angles (deg): 90.00 90.00 90.00
Space group I-4m2 (No. 119)
Inequivalent atoms, fractional coordinates:
1 In 0.000 0.000 0.000 [2 per cell]
2 Si 0.000 0.500 0.750 [2 per cell]
3 Hg 0.000 0.000 0.500 [2 per cell]
4 Hg 0.000 0.500 0.250 [2 per cell]



[5]
Computed, not measured: NaTl2IrO6 after structural relaxation at the PBE-GGA level of DFT.

Computed properties:
As for the crystal system: trigonal. The value obtained for the final energy is -5.306 eV/atom.

a b c (Å): 5.7168 5.7168 14.7020
angles (deg): 90.00 90.00 120.00
Space group R3 (No. 146, hexagonal axes)
Inequivalent atoms, fractional coordinates:
1 Na 0.0000 0.0000 0.0000 [3 per cell]
2 Tl 0.0000 0.0000 0.2205 [3 per cell]
3 Tl 0.0000 0.0000 0.7334 [3 per cell]
4 Ir 0.0000 0.0000 0.5134 [3 per cell]
5 O 0.0130 0.7362 0.5957 [9 per cell]
6 O 0.0672 0.3590 0.1088 [9 per cell]



[6]
Computed, not measured: AlFe2Sb after structural relaxation at the PBE-GGA level of DFT.

Computed properties:
As for the energy above the most stable polymorph in this dataset: 0.340 eV per atom. As for the crystal system: cubic.

a b c (Å): 6.282 6.282 6.282
angles (deg): 90.00 90.00 90.00
Space group F-43m (No. 216)
Inequivalent atoms, fractional coordinates:
1 Al 0.000 0.000 0.000 [4 per cell]
2 Fe 0.000 0.000 0.500 [4 per cell]
3 Fe 0.250 0.250 0.250 [4 per cell]
4 Sb 0.250 0.250 0.750 [4 per cell]



[7]
Computed, not measured: LiCa2Br after structural relaxation at the PBE-GGA level of DFT.

Computed properties:
As for the energy above the most stable polymorph in this dataset: 0.000 eV per atom. As for the crystal system: trigonal.

a b c (Å): 3.8864 3.8864 29.5715
angles (deg): 90.00 90.00 120.00
Space group R3m (No. 160, hexagonal axes)
Inequivalent atoms, fractional coordinates:
1 Li 0.0000 0.0000 0.0000 [3 per cell]
2 Ca 0.0000 0.0000 0.2358 [3 per cell]
3 Ca 0.0000 0.0000 0.4632 [3 per cell]
4 Br 0.0000 0.0000 0.7215 [3 per cell]



[8]
Computed, not measured: Si2HRh2 after structural relaxation at the PBE-GGA level of DFT.

Computed properties:
As for the energy above the most stable polymorph in this dataset: 0.000 eV per atom. As for the crystal system: tetragonal.

a b c (Å): 6.789 6.789 2.845
angles (deg): 90.00 90.00 90.00
Space group P4/mbm (No. 127)
Inequivalent atoms, fractional coordinates:
1 Si 0.143 0.357 0.000 [4 per cell]
2 H 0.000 0.000 0.500 [2 per cell]
3 Rh 0.154 0.654 0.500 [4 per cell]